# 1
# Ac3Co3I

An optimized crystal structure of Ac3Co3I (PBE, Alexandria via LeMat-Bulk).

Results
Energy relative to the elements, uncorrected (eV per atom): -0.280
Total magnetization (μB per cell): 2.22

Lattice parameters (Å, degrees): 10.5723 10.5723 4.0789 90.00 90.00 120.00
Fractional coordinates of all 14 atoms:
Ac  0.0586  0.3570  0.2500
Ac  0.2984  0.9414  0.2500
Ac  0.3570  0.2984  0.7500
Ac  0.6430  0.7016  0.2500
Ac  0.7016  0.0586  0.7500
Ac  0.9414  0.6430  0.7500
Co  0.0150  0.1423  0.7500
Co  0.1273  0.9850  0.7500
Co  0.1423  0.1273  0.2500
Co  0.8577  0.8727  0.7500
Co  0.8727  0.0150  0.2500
Co  0.9850  0.8577  0.2500
I  0.3333  0.6667  0.7500
I  0.6667  0.3333  0.2500



# 2
# KH3I

An optimized crystal structure of KH3I (PBE, Alexandria via LeMat-Bulk).

Results
Polymorph energy (0 for the lowest one) (meV per atom): 0.0
Total magnetization (μB per cell): 0.00

Lattice parameters (Å, degrees): 10.6693 10.6693 4.9731 90.52 90.52 25.98
Fractional coordinates of all 10 atoms:
K  0.1314  0.1314  0.1949
K  0.8686  0.8686  0.8051
H  0.0085  0.0085  0.9334
H  0.2413  0.2413  0.8005
H  0.2657  0.2657  0.9146
H  0.7343  0.7343  0.0854
H  0.7587  0.7587  0.1995
H  0.9915  0.9915  0.0666
I  0.3805  0.3805  0.3111
I  0.6195  0.6195  0.6889



# 3
# Pm3TlN

An optimized crystal structure of Pm3TlN (PBE, Alexandria via LeMat-Bulk).

Results
Energy relative to the elements, uncorrected (eV per atom): -0.847
Total magnetization (μB per cell): 0.00

Lattice parameters (Å, degrees): 4.9941 4.9941 4.9941 90.00 90.00 90.00
Fractional coordinates of all 5 atoms:
Pm  0.0000  0.0000  0.5000
Pm  0.0000  0.5000  0.0000
Pm  0.5000  0.0000  0.0000
Tl  0.5000  0.5000  0.5000
N  0.0000  0.0000  0.0000



Which of these has the highest total magnetization?
Ac3Co3I